Below is a geometry-optimized Ba10Br4N5Cl structure, with properties calculated at the PBE level.

Calculated total energy: -4.6731 eV/atom
M_tot: 0.000 μB/atom
Density: 4980 kg/m³

Lattice parameters (Å, degrees): 39.6637 39.6637 39.6637 6.04 6.04 6.04
Fractional coordinates of all 20 atoms:
Ba1 0.0446 0.0446 0.0446
Ba2 0.1542 0.1542 0.1542
Ba3 0.2464 0.2464 0.2464
Ba4 0.3530 0.3530 0.3530
Ba5 0.4452 0.4452 0.4452
Ba6 0.5548 0.5548 0.5548
Ba7 0.6470 0.6470 0.6470
Ba8 0.7536 0.7536 0.7536
Ba9 0.8458 0.8458 0.8458
Ba10 0.9554 0.9554 0.9554
Br1 0.2003 0.2003 0.2003
Br2 0.3991 0.3991 0.3991
Br3 0.6009 0.6009 0.6009
Br4 0.7997 0.7997 0.7997
N1 0.0994 0.0994 0.0994
N2 0.3012 0.3012 0.3012
N3 0.5000 0.5000 0.5000
N4 0.6988 0.6988 0.6988
N5 0.9006 0.9006 0.9006
Cl1 0.0000 0.0000 0.0000